# PuNiBi2O8 | Alexandria via LeMat-Bulk | PBE+U | relaxed
# Size of the total moment, Bohr magnetons per cell: 2.38
# Raw total energy, eV per atom: -6.806
data_PuNiBi2O8
_symmetry_space_group_name_H-M 'C 1 2/m 1'
_symmetry_Int_Tables_number 12
_cell_length_a 7.351
_cell_length_b 6.921
_cell_length_c 6.987
_cell_angle_alpha 90.00
_cell_angle_beta 95.16
_cell_angle_gamma 90.00
loop_
_symmetry_equiv_pos_as_xyz
'x,y,z'
'-x,-y,-z'
'-x,y,-z'
'x,-y,z'
'x+1/2,y+1/2,z'
'-x+1/2,-y+1/2,-z'
'-x+1/2,y+1/2,-z'
'x+1/2,-y+1/2,z'
loop_
_atom_site_label
_atom_site_fract_x
_atom_site_fract_y
_atom_site_fract_z
Pu1 0.000 0.000 0.000
Ni1 0.000 0.000 0.500
Bi1 0.041 0.500 0.266
O1 0.000 0.287 0.500
O2 0.000 0.297 0.000
O3 0.155 0.000 0.749
O4 0.202 0.000 0.186